{"formula": "BaV2Pb", "functional": "GGA-PBE", "state": "relaxed", "vol_a3_per_cell": 502.9, "ef_kj_per_mol_atoms": 94.9, "lattice": [[8.574, 0.000, 0.000], [0.000, 8.574, 0.000], [0.000, 0.000, 6.840]], "species": ["Ba", "Ba", "Ba", "Ba", "V", "V", "V", "V", "V", "V", "V", "V", "Pb", "Pb", "Pb", "Pb"], "fractional_positions": [[0.000, 0.000, 0.000], [0.000, 0.500, 0.250], [0.500, 0.000, 0.750], [0.500, 0.500, 0.500], [0.184, 0.750, 0.625], [0.250, 0.184, 0.375], [0.250, 0.316, 0.875], [0.316, 0.750, 0.125], [0.684, 0.250, 0.125], [0.750, 0.684, 0.875], [0.750, 0.816, 0.375], [0.816, 0.250, 0.625], [0.000, 0.000, 0.500], [0.000, 0.500, 0.750], [0.500, 0.000, 0.250], [0.500, 0.500, 0.000]]}

=====

{"formula": "YMgV2I", "functional": "GGA-PBE", "state": "relaxed", "e_form_raw_ev_per_atom": 1.00, "vol_a3_per_cell": 137.9, "lattice": [[4.980, 0.000, 0.000], [0.000, 4.980, 0.000], [0.000, 0.000, 5.562]], "species": ["Y", "Mg", "V", "V", "I"], "fractional_positions": [[0.000, 0.000, 0.000], [0.500, 0.500, 0.000], [0.000, 0.500, 0.500], [0.500, 0.000, 0.500], [0.000, 0.000, 0.500]]}